# Tb2HoSb

Tb2HoSb after structural relaxation (PBE, Alexandria via LeMat-Bulk).

## Properties
Crystal system ... trigonal
Energy relative to the elements, uncorrected ... -289 meV/atom
Magnetization ... 1.0 μB per formula unit
Volume ... 132.0 Å³/f.u.
SG ... R-3m, No. 166
Offset from the most stable computed form ... 0.2541 eV per atom
Electronic total energy ... -19.117 eV/cell

Unit cell a=3.9711 b=3.9711 c=9.9327 alpha=78.47 beta=78.47 gamma=60.00
With the nearest neighbours (Å) after each atom.
Positions (direct):
Sb (0.0000, 0.0000, 0.0000)  6 Tb 3.02
Tb (0.2656, 0.2656, 0.2032)  3 Sb 3.02
Tb (0.7344, 0.7344, 0.7968)  3 Sb 3.02
Ho (0.5000, 0.5000, 0.5000)  6 Tb 3.67, 6 Ho 3.97